# 1
Compound: PuAg2I8
Source: Alexandria via LeMat-Bulk
Functional: PBE-GGA
Structure: optimized geometry

The structure belongs to space group C2/m (No. 12); the cell edges are 12.5147, 12.4702 and 7.2058 Å and the angles 90.00°, 109.04° and 90.00°. The asymmetric unit holds Pu at (0.0000, 0.0000, 0.0000), Ag at (0.1679, 0.0000, 0.6697), I at (0.0774, 0.5000, 0.1891), I at (0.0874, 0.1794, 0.8094) and I at (0.2303, 0.0000, 0.3299).

The calculation puts the total magnetization at 0.36 μB/atom. The value obtained for the energy relative to the elements, uncorrected is -0.465 eV/atom.

# 2
Compound: PuAgI2
Source: Alexandria via LeMat-Bulk
Functional: PBE-GGA
Structure: optimized geometry

The structure belongs to space group R-3m (No. 166, hexagonal axes); the cell edges are 4.0255, 4.0255 and 30.3174 Å and the angles 90.00°, 90.00° and 120.00°. The asymmetric unit holds Pu at (0.0000, 0.0000, 0.0000), Ag at (0.0000, 0.0000, 0.5000) and I at (0.0000, 0.0000, 0.4036).

The calculation puts the total magnetization at 1.53 μB/atom. The value obtained for the energy relative to the elements, uncorrected is -0.386 eV/atom.

# 3
Compound: Rb3PuAg2I9
Source: Alexandria via LeMat-Bulk
Functional: PBE-GGA
Structure: optimized geometry

The structure belongs to space group P-3m1 (No. 164); the cell edges are 8.5289, 8.5289 and 10.4862 Å and the angles 90.00°, 90.00° and 120.00°. The asymmetric unit holds Rb at (0.0000, 0.0000, 0.0000), Rb at (0.3333, 0.6667, 0.7171), Pu at (0.0000, 0.0000, 0.5000), Ag at (0.3333, 0.6667, 0.1492), I at (0.0000, 0.5000, 0.0000) and I at (0.1672, 0.3344, 0.3329).

The calculation puts the total magnetization at 0.29 μB/atom. The value obtained for the energy relative to the elements, uncorrected is -0.920 eV/atom.

# 4
Compound: RbPuAgI5
Source: Alexandria via LeMat-Bulk
Functional: PBE-GGA
Structure: optimized geometry

The structure belongs to space group C2/c (No. 15); the cell edges are 10.2805, 13.7634 and 11.6523 Å and the angles 90.00°, 112.87° and 90.00°. The asymmetric unit holds Rb at (0.0000, 0.1460, 0.2500), Pu at (0.0000, 0.5000, 0.0000), Ag at (0.0000, 0.1904, 0.7500), I at (0.0000, 0.4202, 0.2500), I at (0.1168, 0.2957, 0.6034) and I at (0.1925, 0.0663, 0.9413).

The calculation puts the total magnetization at 0.62 μB/atom. The value obtained for the energy relative to the elements, uncorrected is -0.959 eV/atom.

# 5
Compound: RbPuAg2I8
Source: Alexandria via LeMat-Bulk
Functional: PBE-GGA
Structure: optimized geometry

The structure belongs to space group I-4m2 (No. 119); the cell edges are 10.8408, 10.8408 and 9.5433 Å and the angles 90.00°, 90.00° and 90.00°. The asymmetric unit holds Rb at (0.0000, 0.0000, 0.0000), Pu at (0.0000, 0.5000, 0.7500), Ag at (0.0000, 0.0000, 0.5000), Ag at (0.0000, 0.5000, 0.2500), I at (0.0000, 0.2095, 0.6825) and I at (0.0000, 0.3318, 0.0293).

The calculation puts the total magnetization at 0.36 μB/atom. The value obtained for the energy relative to the elements, uncorrected is -0.575 eV/atom.

# 6
Compound: Rb2PuAgI5
Source: Alexandria via LeMat-Bulk
Functional: PBE-GGA
Structure: optimized geometry

The structure belongs to space group Cmc2_1 (No. 36); the cell edges are 4.7388, 21.7185 and 15.1902 Å and the angles 90.00°, 90.00° and 90.00°. The asymmetric unit holds Rb at (0.0000, 0.1150, 0.0000), Rb at (0.0000, 0.1199, 0.6357), Pu at (0.0000, 0.1989, 0.3310), Ag at (0.0000, 0.4294, 0.7557), I at (0.0000, 0.0529, 0.3590), I at (0.0000, 0.2922, 0.9756), I at (0.0000, 0.3012, 0.6845), I at (0.0000, 0.3470, 0.3205) and I at (0.0000, 0.4952, 0.5952).

The calculation puts the total magnetization at 0.67 μB/atom. The value obtained for the energy relative to the elements, uncorrected is -1.064 eV/atom.

# 7
Compound: RbPuAgI6
Source: Alexandria via LeMat-Bulk
Functional: PBE-GGA
Structure: optimized geometry

The structure belongs to space group P-31c (No. 163); the cell edges are 7.8060, 7.8060 and 16.6105 Å and the angles 90.00°, 90.00° and 120.00°. The asymmetric unit holds Rb at (0.0000, 0.0000, 0.0000), Pu at (0.3333, 0.6667, 0.2500), Ag at (0.3333, 0.6667, 0.7500) and I at (0.0041, 0.3652, 0.1448).

The calculation puts the total magnetization at 0.44 μB/atom. The value obtained for the energy relative to the elements, uncorrected is -0.845 eV/atom.

# 8
Compound: Rb2PuAgI6
Source: Alexandria via LeMat-Bulk
Functional: PBE-GGA
Structure: optimized geometry

The structure belongs to space group P2_1/c (No. 14); the cell edges are 8.3444, 8.7298 and 14.5134 Å and the angles 90.00°, 124.71° and 90.00°. The asymmetric unit holds Rb at (0.2242, 0.0733, 0.2479), Pu at (0.5000, 0.0000, 0.0000), Ag at (0.0000, 0.0000, 0.5000), I at (0.1571, 0.2018, 0.9574), I at (0.2628, 0.7023, 0.9593) and I at (0.3292, 0.0106, 0.7461).

The calculation puts the total magnetization at 0.50 μB/atom. The value obtained for the energy relative to the elements, uncorrected is -1.065 eV/atom.

# 9
Compound: PuTl2Ag2I6
Source: Alexandria via LeMat-Bulk
Functional: PBE-GGA
Structure: optimized geometry

The structure belongs to space group C2/m (No. 12); the cell edges are 14.0543, 9.0727 and 8.4720 Å and the angles 90.00°, 120.18° and 90.00°. The asymmetric unit holds Pu at (0.0000, 0.0000, 0.0000), Tl at (0.2479, 0.0000, 0.6901), Ag at (0.0399, 0.5000, 0.8721), I at (0.0659, 0.2347, 0.3136) and I at (0.2474, 0.0000, 0.1012).

The calculation puts the total magnetization at 0.50 μB/atom. The value obtained for the energy relative to the elements, uncorrected is -0.549 eV/atom.

# 10
Compound: PuTlAg2I8
Source: Alexandria via LeMat-Bulk
Functional: PBE-GGA
Structure: optimized geometry

The structure belongs to space group I-4m2 (No. 119); the cell edges are 10.0671, 10.0671 and 10.1245 Å and the angles 90.00°, 90.00° and 90.00°. The asymmetric unit holds Pu at (0.0000, 0.0000, 0.0000), Tl at (0.0000, 0.5000, 0.7500), Ag at (0.0000, 0.0000, 0.5000), Ag at (0.0000, 0.5000, 0.2500), I at (0.0000, 0.1760, 0.7147) and I at (0.0000, 0.3005, 0.0549).

The calculation puts the total magnetization at 0.34 μB/atom. The value obtained for the energy relative to the elements, uncorrected is -0.451 eV/atom.

# 11
Compound: RbAgI2
Source: Alexandria via LeMat-Bulk
Functional: PBE-GGA
Structure: optimized geometry

The structure belongs to space group R3m (No. 160, hexagonal axes); the cell edges are 4.6714, 4.6714 and 24.4972 Å and the angles 90.00°, 90.00° and 120.00°. The asymmetric unit holds Rb at (0.0000, 0.0000, 0.0000), Ag at (0.0000, 0.0000, 0.1681), I at (0.0000, 0.0000, 0.5662) and I at (0.0000, 0.0000, 0.7677).

The calculation puts the total magnetization at 0.00 μB/atom. The value obtained for the energy relative to the elements, uncorrected is -0.774 eV/atom.

# 12
Compound: RbAg2I2
Source: Alexandria via LeMat-Bulk
Functional: PBE-GGA
Structure: optimized geometry

The structure belongs to space group I4/mmm (No. 139); the cell edges are 5.7109, 5.7109 and 10.5950 Å and the angles 90.00°, 90.00° and 90.00°. The asymmetric unit holds Rb at (0.0000, 0.0000, 0.0000), Ag at (0.0000, 0.0000, 0.3698) and I at (0.0000, 0.5000, 0.2500).

The calculation puts the total magnetization at 0.00 μB/atom. The value obtained for the energy relative to the elements, uncorrected is -0.360 eV/atom.